K3ZrSb | GGA-PBEsol | optimized geometry

Formation energy without anion corrections ... 6.22 eV per formula unit
D(E_F) ... 5.2 states/eV per cell
Total DFT energy (no corrections) ... -10.83 eV per cell

Geometry as POSCAR:
```
K3ZrSb
1.0
6.128 0.000 0.000
0.000 6.128 0.000
0.000 0.000 6.128
Sb K Zr
1 3 1
Direct
0.500 0.500 0.500
0.000 0.500 0.000
0.000 0.000 0.500
0.500 0.000 0.000
0.000 0.000 0.000
```

SrPbSe2 | GGA-PBEsol | optimized geometry

Formation energy without anion corrections ... -5.13 eV per formula unit
D(E_F) ... 0.0 states/eV per cell
Total DFT energy (no corrections) ... -18.67 eV per cell

Geometry as POSCAR:
```
SrPbSe2
1.0
-0.533 4.312 -0.234
-2.616 1.707 -3.029
-6.558 1.570 3.424
Pb Sr Se
1 1 2
Direct
0.500 0.500 0.500
0.000 0.000 0.000
0.250 0.250 0.250
0.750 0.750 0.750
```